# 1
The following is a PBE calculation of Hf4AlPbC2 after structural relaxation, from OQMD.

Cell: 3.326 3.326 14.518 Å, 90.00 90.00 120.00°
Sites, in units of the cell vectors:
C  0.333  0.667  0.255
C  0.333  0.667  0.745
Hf  0.000  0.000  0.341
Hf  0.667  0.333  0.172
Hf  0.667  0.333  0.828
Hf  0.000  0.000  0.659
Pb  0.000  0.000  0.000
Al  0.667  0.333  0.500

M_tot, μB per atom: 0.00
Symmetry: P-6m2, No. 187
Energy, eV for the cell shown: -71.04

***

# 2
The following is a PBE calculation of Hf4AlSiC2 after structural relaxation, from OQMD.

Cell: 3.273 3.273 13.896 Å, 90.00 90.00 120.00°
Sites, in units of the cell vectors:
Si  0.667  0.333  0.500
Hf  0.000  0.000  0.651
Hf  0.667  0.333  0.167
Hf  0.000  0.000  0.349
Hf  0.667  0.333  0.833
C  0.333  0.667  0.257
C  0.333  0.667  0.743
Al  0.000  0.000  0.000

M_tot, μB per atom: 0.00
Symmetry: P-6m2, No. 187
Energy, eV for the cell shown: -73.39

***

The calculation returns the following calculated volume values, one per record and in order: 17.38 16.11 A^3/atom.